PBE-GGA ZrTi2Mo, relaxed; electronic total energy = -35.326 eV per cell; DOS at the Fermi energy = 6.9 states/eV/f.u.; energy relative to the elements = -39 meV/atom
1.0
3.236 0.000 0.000
0.000 3.236 0.000
0.000 0.000 6.900
Ti Mo Zr
2 1 1
Direct
0.000 0.000 0.210
0.000 0.000 0.790
0.500 0.500 0.000
0.500 0.500 0.500